A plane-wave DFT calculation with PBE-GGA was carried out for a relaxed Al2CrBr crystal.

a = 4.7979 Å, b = 4.7979 Å, c = 6.3021 Å
α = 96.53°, β = 96.53°, γ = 38.56°
Closest atoms and distances in Å follow each position.
Atoms (fractional coordinates):
Al  0.0000  0.0000  0.0000  1 Br 2.47, 2 Cr 2.49
Al  0.7405  0.7405  0.2003  3 Cr 2.60-2.63, 3 Al 2.80-2.86
Cr  0.4660  0.4660  0.2952  5 Al 2.49-2.63, 2 Br 2.69
Br  0.0623  0.0623  0.6287  1 Al 2.47, 2 Cr 2.69

Output
The total magnetic moment comes out at 0.605 μB per atom. The final energy is -4.508 eV per atom.